# 1
# GGA-PBE TbZn12Co6, optimized geometry
# D(E_F) in states/eV/f.u.: 18.10
# Space group: No. 166
# Total energy in eV/atom: -3.171
# Total magnetization in μB/f.u.: 5.55
# Calculated volume in Å³/cell: 284.58
data_TbZn12Co6
_chemical_formula_sum 'Tb1 Zn12 Co6'
_cell_length_a 6.846
_cell_length_b 6.846
_cell_length_c 6.846
_cell_angle_alpha 104.30
_cell_angle_beta 104.30
_cell_angle_gamma 104.30
_symmetry_space_group_name_H-M 'P 1'
_symmetry_Int_Tables_number 1
_symmetry_space_group_name_Hall 'P 1'
loop_
_atom_site_label
_atom_site_type_symbol
_atom_site_fract_x
_atom_site_fract_y
_atom_site_fract_z
Co1 Co 0.721 0.300 0.721
Co2 Co 0.279 0.279 0.700
Co3 Co 0.721 0.721 0.300
Co4 Co 0.300 0.721 0.721
Co5 Co 0.700 0.279 0.279
Co6 Co 0.279 0.700 0.279
Zn1 Zn 0.400 0.400 0.141
Zn2 Zn 0.400 0.141 0.400
Zn3 Zn 0.600 0.600 0.859
Zn4 Zn 0.114 0.886 0.500
Zn5 Zn 0.500 0.886 0.114
Zn6 Zn 0.141 0.400 0.400
Zn7 Zn 0.114 0.500 0.886
Zn8 Zn 0.886 0.114 0.500
Zn9 Zn 0.600 0.859 0.600
Zn10 Zn 0.859 0.600 0.600
Zn11 Zn 0.886 0.500 0.114
Zn12 Zn 0.500 0.114 0.886
Tb1 Tb 0.000 0.000 0.000

***

# 2
# GGA-PBE SmHoLu2, optimized geometry
# D(E_F) in states/eV/f.u.: 6.09
# Space group: No. 123
# Total energy in eV/atom: -4.554
# Total magnetization in μB/f.u.: 0.00
# Calculated volume in Å³/cell: 123.18
# Distance to the lowest polymorph of the same formula in eV per atom: 0.0009
data_SmHoLu2
_chemical_formula_sum 'Sm1 Ho1 Lu2'
_cell_length_a 3.525
_cell_length_b 3.525
_cell_length_c 9.913
_cell_angle_alpha 90.00
_cell_angle_beta 90.00
_cell_angle_gamma 90.00
_symmetry_space_group_name_H-M 'P 1'
_symmetry_Int_Tables_number 1
_symmetry_space_group_name_Hall 'P 1'
loop_
_atom_site_label
_atom_site_type_symbol
_atom_site_fract_x
_atom_site_fract_y
_atom_site_fract_z
Ho1 Ho 0.500 0.500 0.000
Sm1 Sm 0.500 0.500 0.500
Lu1 Lu 0.000 0.000 0.753
Lu2 Lu 0.000 0.000 0.247

***

# 3
# GGA-PBE Nd3Zn8Hg3, optimized geometry
# D(E_F) in states/eV/f.u.: 6.28
# Space group: No. 71
# Total energy in eV/atom: -2.128
# Total magnetization in μB/f.u.: 0.00
# Calculated volume in Å³/cell: 288.19
data_Nd3Zn8Hg3
_chemical_formula_sum 'Nd3 Zn8 Hg3'
_cell_length_a 4.555
_cell_length_b 8.570
_cell_length_c 8.570
_cell_angle_alpha 65.19
_cell_angle_beta 74.59
_cell_angle_gamma 74.59
_symmetry_space_group_name_H-M 'P 1'
_symmetry_Int_Tables_number 1
_symmetry_space_group_name_Hall 'P 1'
loop_
_atom_site_label
_atom_site_type_symbol
_atom_site_fract_x
_atom_site_fract_y
_atom_site_fract_z
Zn1 Zn 0.351 0.916 0.381
Zn2 Zn 0.649 0.084 0.619
Zn3 Zn 0.169 0.197 0.464
Zn4 Zn 0.831 0.803 0.536
Zn5 Zn 0.351 0.381 0.916
Zn6 Zn 0.169 0.464 0.197
Zn7 Zn 0.649 0.619 0.084
Zn8 Zn 0.831 0.536 0.803
Nd1 Nd 0.197 0.803 0.803
Nd2 Nd 0.803 0.197 0.197
Nd3 Nd 0.500 0.500 0.500
Hg1 Hg 0.000 0.780 0.220
Hg2 Hg 0.000 0.220 0.780
Hg3 Hg 0.500 0.000 0.000